Below is crystalline Nd2DyTh3 at its relaxed geometry, with properties calculated at the PBE-GGA level.

Calculated values
Its total moment is 0.00 μB/atom. For the energy of formation from the pure elements, the calculation gives 0.197 eV per atom.

Cell: 10.3143 11.4451 6.7883 Å, 90.00 90.00 90.00°
With the nearest neighbours (Å) after each atom.
Space group Cmcm (No. 63)
Inequivalent atoms, fractional coordinates:
1 Nd 0.1671 0.2303 0.2500 [8 per cell]  3 Dy 3.43-3.83, 3 Nd 3.45-3.83, 6 Th 3.52-3.58
2 Dy 0.0000 0.2710 0.7500 [4 per cell]  6 Nd 3.43-3.83, 6 Th 3.54-3.56
3 Th 0.0000 0.0000 0.0000 [4 per cell]  4 Th 3.39-3.45, 2 Dy 3.54, 4 Nd 3.58
4 Th 0.1658 0.5000 0.0000 [8 per cell]  4 Th 3.39-3.45, 4 Nd 3.52-3.58, 2 Dy 3.56